A relaxed ScCu2Br crystal. Source: Alexandria via LeMat-Bulk, functional PBE.

Values from the calculation:
* distance to the lowest polymorph of the same formula: 295 meV/atom
* E_form (uncorrected): -37.0 meV/atom
* total magnetization: 0.000 μB/cell

Cell: 3.6140 3.6155 5.6151 Å, 90.00 90.00 90.00°
Positions (direct):
1 Br 0.5000 0.5000 0.7500
2 Sc 0.5000 0.5000 0.2500
3 Cu 0.0000 0.0000 0.4659
4 Cu 0.0000 0.0000 0.0341

A relaxed Sc2CuBr crystal. Source: Alexandria via LeMat-Bulk, functional PBE.

Values from the calculation:
* distance to the lowest polymorph of the same formula: 0 meV/atom
* E_form (uncorrected): -517.5 meV/atom
* total magnetization: 0.000 μB/cell

Cell: 3.7089 3.7089 7.5125 Å, 75.67 75.67 59.96°
Positions (direct):
1 Cu 0.2500 0.2500 0.2500
2 Sc 0.9866 0.9866 0.0419
3 Sc 0.5134 0.5134 0.4581
4 Br 0.7500 0.7500 0.7500

A relaxed Sc4CuBr crystal. Source: Alexandria via LeMat-Bulk, functional PBE.

Values from the calculation:
* E_form (uncorrected): 461.9 meV/atom
* total magnetization: 0.000 μB/cell

Cell: 5.8991 5.8991 5.8991 Å, 60.00 60.00 60.00°
Positions (direct):
1 Sc 0.8797 0.3734 0.3734
2 Sc 0.3734 0.8797 0.3734
3 Sc 0.3734 0.3734 0.3734
4 Sc 0.3734 0.3734 0.8797
5 Br 0.7500 0.7500 0.7500
6 Cu 0.0000 0.0000 0.0000

A relaxed Sc2CuBr crystal. Source: Alexandria via LeMat-Bulk, functional PBE.

Values from the calculation:
* distance to the lowest polymorph of the same formula: 870 meV/atom
* E_form (uncorrected): 352.2 meV/atom
* total magnetization: 2.338 μB/cell

Cell: 4.9461 4.9461 4.9461 Å, 60.00 60.00 60.00°
Positions (direct):
1 Cu 0.7500 0.7500 0.7500
2 Sc 0.2500 0.2500 0.2500
3 Sc 0.0000 0.0000 0.0000
4 Br 0.5000 0.5000 0.5000

A relaxed ScCu2Br crystal. Source: Alexandria via LeMat-Bulk, functional PBE.

Values from the calculation:
* distance to the lowest polymorph of the same formula: 271 meV/atom
* E_form (uncorrected): -61.1 meV/atom
* total magnetization: 0.000 μB/cell

Cell: 5.7462 5.7462 4.3053 Å, 68.08 68.08 33.00°
Positions (direct):
1 Cu 0.4908 0.4908 0.5099
2 Cu 0.0092 0.0092 0.9901
3 Br 0.2500 0.2500 0.2500
4 Sc 0.7500 0.7500 0.7500

A relaxed ScCu2Br crystal. Source: Alexandria via LeMat-Bulk, functional PBE.

Values from the calculation:
* distance to the lowest polymorph of the same formula: 59 meV/atom
* E_form (uncorrected): -273.8 meV/atom
* total magnetization: 0.525 μB/cell

Cell: 3.2992 3.3080 7.2590 Å, 76.54 90.00 90.00°
Positions (direct):
1 Br 0.5000 0.9545 0.7074
2 Cu 0.0000 0.7671 0.0995
3 Cu 0.5000 0.2019 0.2250
4 Sc 0.0000 0.5765 0.4680

A relaxed Sc2CuBr crystal. Source: Alexandria via LeMat-Bulk, functional PBE.

Values from the calculation:
* distance to the lowest polymorph of the same formula: 162 meV/atom
* E_form (uncorrected): -356.0 meV/atom
* total magnetization: 0.000 μB/cell

Cell: 5.4876 5.4876 4.5434 Å, 89.12 89.12 35.12°
Positions (direct):
1 Cu 0.2631 0.2631 0.1216
2 Br 0.4820 0.4820 0.6302
3 Sc 0.0097 0.0097 0.1289
4 Sc 0.7452 0.7452 0.6194

A relaxed Sc2CuBr crystal. Source: Alexandria via LeMat-Bulk, functional PBE.

Values from the calculation:
* distance to the lowest polymorph of the same formula: 347 meV/atom
* E_form (uncorrected): -170.5 meV/atom
* total magnetization: 0.000 μB/cell

Cell: 6.0550 6.0550 6.0550 Å, 142.52 142.52 54.04°
Positions (direct):
1 Cu 0.7500 0.2500 0.5000
2 Sc 0.0000 0.0000 0.0000
3 Sc 0.2500 0.7500 0.5000
4 Br 0.5000 0.5000 0.0000

A relaxed Sc2CuBr crystal. Source: Alexandria via LeMat-Bulk, functional PBE.

Values from the calculation:
* distance to the lowest polymorph of the same formula: 124 meV/atom
* E_form (uncorrected): -393.8 meV/atom
* total magnetization: 0.900 μB/cell

Cell: 3.2693 3.2693 7.6106 Å, 90.00 90.00 90.00°
Positions (direct):
1 Sc 0.0000 0.0000 0.5370
2 Sc 0.0000 0.0000 0.9630
3 Cu 0.5000 0.5000 0.7500
4 Br 0.5000 0.5000 0.2500

A relaxed Sc4CuBr5 crystal. Source: Alexandria via LeMat-Bulk, functional PBE.

Values from the calculation:
* E_form (uncorrected): -1175.8 meV/atom
* total magnetization: 0.000 μB/cell

Cell: 3.7458 8.0327 8.9066 Å, 102.29 102.14 90.00°
Positions (direct):
1 Cu 0.5000 0.0000 0.0000
2 Br 0.5000 0.5000 0.0000
3 Br 0.1741 0.8379 0.3482
4 Br 0.1660 0.3315 0.3321
5 Br 0.8340 0.6685 0.6679
6 Br 0.8259 0.1621 0.6518
7 Sc 0.6473 0.0762 0.2946
8 Sc 0.3527 0.9238 0.7054
9 Sc 0.9984 0.7795 0.9968
10 Sc 0.0016 0.2205 0.0032

A relaxed ScCuBr3 crystal. Source: Alexandria via LeMat-Bulk, functional PBE.

Values from the calculation:
* E_form (uncorrected): -605.8 meV/atom
* total magnetization: 0.872 μB/cell

Cell: 5.2967 5.2967 5.2967 Å, 90.00 90.00 90.00°
Positions (direct):
1 Br 0.5000 0.0000 0.0000
2 Br 0.0000 0.5000 0.0000
3 Br 0.0000 0.0000 0.5000
4 Sc 0.0000 0.0000 0.0000
5 Cu 0.5000 0.5000 0.5000

A relaxed Sc2CuBr crystal. Source: Alexandria via LeMat-Bulk, functional PBE.

Values from the calculation:
* distance to the lowest polymorph of the same formula: 331 meV/atom
* E_form (uncorrected): -186.9 meV/atom
* total magnetization: 0.000 μB/cell

Cell: 4.8018 4.8018 4.8018 Å, 60.00 60.00 60.00°
Positions (direct):
1 Sc 0.2500 0.2500 0.2500
2 Sc 0.7500 0.7500 0.7500
3 Cu 0.0000 0.0000 0.0000
4 Br 0.5000 0.5000 0.5000